Entry 1:
## Sm3GaHg2 (PBE-GGA)

Data for an optimized crystal structure of Sm3GaHg2.

Structure (POSCAR):
```
Sm3GaHg2
1.0
2.6615 -7.9577 0.0000
2.6615 7.9577 0.0000
0.0000 0.0000 3.7441
Sm Ga Hg
3 1 2
direct
0.0000 0.0000 0.0000 Sm
0.3409 0.6591 0.0000 Sm
0.6591 0.3409 0.0000 Sm
0.5000 0.5000 0.5000 Ga
0.1701 0.8299 0.5000 Hg
0.8299 0.1701 0.5000 Hg
```

Its energy relative to the elements is -494 meV per atom. The space group is No. 65.


Entry 2:
## Sm6GaHg6 (PBE-GGA)

Data for an optimized crystal structure of Sm6GaHg6.

Structure (POSCAR):
```
Sm6GaHg6
1.0
6.3450 0.0000 0.0000
-3.1725 5.4949 0.0000
0.0000 0.0000 10.5862
Sm Ga Hg
6 1 6
direct
0.0000 0.0000 0.1969 Sm
0.0000 0.0000 0.8031 Sm
0.3333 0.6667 0.0000 Sm
0.3333 0.6667 0.5000 Sm
0.6667 0.3333 0.0000 Sm
0.6667 0.3333 0.5000 Sm
0.0000 0.0000 0.5000 Ga
0.0000 0.5000 0.2506 Hg
0.0000 0.5000 0.7494 Hg
0.5000 0.0000 0.2506 Hg
0.5000 0.0000 0.7494 Hg
0.5000 0.5000 0.2506 Hg
0.5000 0.5000 0.7494 Hg
```

Its energy relative to the elements is -266 meV per atom. The space group is No. 191.


energy relative to the elements of number 1 (Sm3GaHg2)?
-494 meV per atom